(i)
The following is a PBE calculation of Sc2Pb2I after structural relaxation, from Alexandria.

Computed properties:
- magnetization (μB/atom) = 0.111
- N(E_F) (states/eV/cell) = 4.83
- calculated density (g cm⁻³) = 7.21

a b c (Å): 4.3790 4.3790 15.1531
angles (deg): 90.00 90.00 90.00
Space group I4/mmm (No. 139)
Unique sites:
Sc: 0.0000 0.0000 0.1056 (multiplicity 4)
Pb: 0.0000 0.5000 0.2500 (multiplicity 4)
I: 0.0000 0.0000 0.5000 (multiplicity 2)

***

(ii)
The following is a PBE calculation of Sc2Pb2I after structural relaxation, from Alexandria.

Computed properties:
- magnetization (μB/atom) = 0.000
- N(E_F) (states/eV/cell) = 5.79
- calculated density (g cm⁻³) = 7.71

a b c (Å): 8.0540 8.0540 4.1908
angles (deg): 90.00 90.00 90.00
Space group P4/mbm (No. 127)
Unique sites:
Sc: 0.1688 0.3312 0.0000 (multiplicity 4)
Pb: 0.1315 0.6315 0.5000 (multiplicity 4)
I: 0.0000 0.0000 0.0000 (multiplicity 2)

***

(ii) is preferred energetically. Next in line: 0.194 eV/atom higher.